Here is a relaxed LiCoPO4 crystal from Alexandria via LeMat-Bulk. Energies are from PBE+U.

Results
DFT total energy	-6.585	eV per atom
magnetization	23.93	μB per cell

Cell: 5.6729 10.8405 9.9180 Å, 90.00 91.86 90.00°
Space group P2_1/c (No. 14)
Symmetry-distinct sites (fractional):
1 Li 0.0272 0.1595 0.3294
2 Li 0.4558 0.6218 0.0610
3 Co 0.1617 0.6266 0.5125
4 Co 0.3733 0.1006 0.7687
5 P 0.1358 0.6072 0.8455
6 P 0.3665 0.1401 0.0935
7 O 0.0809 0.0201 0.6672
8 O 0.1206 0.6905 0.9733
9 O 0.1468 0.0555 0.0775
10 O 0.1553 0.6858 0.7145
11 O 0.3142 0.2282 0.2097
12 O 0.3713 0.5314 0.8665
13 O 0.4050 0.5633 0.3737
14 O 0.4123 0.2063 0.9578